The following is a PBE calculation of BeBH3 after structural relaxation, from Alexandria via LeMat-Bulk.

Cell lengths 3.093, 3.093, 3.093 Å; angles 90.00, 90.00, 90.00 degrees
Positions (direct):
H: 0.000 0.500 0.000
H: 0.500 0.000 0.000
H: 0.000 0.000 0.500
B: 0.500 0.500 0.500
Be: 0.000 0.000 0.000

Fermi-level density of states = 0.8 states/eV per cell
Total energy = -2.977 eV/atom
Offset from the most stable computed form = 0.161 eV per atom
Density = 1.28 g cm⁻³